## VCo3H (PBE)

Data for crystalline VCo3H at its relaxed geometry.

energy = -30.48 eV for the cell shown
total magnetic moment = 1.067 μB/cell
energy above the lowest structure with this stoichiometry = 0.810 eV/atom

a b c (Å): 3.392 3.392 5.442
angles (deg): 90.00 90.00 90.00
Fractional positions:
V  0.000  0.000  0.000
Co  0.000  0.000  0.615
Co  0.000  0.500  0.298
Co  0.500  0.000  0.298
H  0.500  0.500  0.380